Density functional theory data (PBE) for a relaxed structure of Ce5ThBi6.

## Properties
Magnetization in μB per formula unit: 4.83
VASP energy in eV/atom: -5.795
Energy relative to the elements in eV/atom: -0.764

a b c (Å): 7.9697 13.8452 7.9697
angles (deg): 90.00 109.65 90.00
Space group C2/m (No. 12)
Inequivalent atoms, fractional coordinates:
Ce: 0.0000 0.0000 0.0000
Ce: 0.0000 0.1667 0.5000
Ce: 0.0000 0.3329 0.0000
Th: 0.0000 0.5000 0.5000
Bi: 0.2504 0.0000 0.7501
Bi: 0.2500 0.1665 0.2500